No. 1
Density functional theory data (GGA-PBE) for CdCu2Ag after structural relaxation.

For the uncorrected energy, the calculation gives -2.6722 eV per atom. The value obtained for the volume is 277 Å³/cell. As for the density of states at the Fermi level: 3.1 states/eV/cell. The value obtained for the energy relative to the elements is 0.3175 eV/atom. For the total magnetic moment, the calculation gives 0.00 μB per atom.

The structure belongs to space group I-42d (No. 122); the cell edges are 3.833, 3.833 and 18.867 Å and the angles 90.00°, 90.00° and 90.00°. The distinct sites, in fractional coordinates, are Cd at (0.000, 0.000, 0.000), Cu at (0.241, 0.250, 0.625) and Ag at (0.000, 0.000, 0.500).

=====

No. 2
Density functional theory data (GGA-PBE) for CdCuAg2 after structural relaxation.

For the uncorrected energy, the calculation gives -2.5929 eV per atom. The value obtained for the volume is 210 Å³/cell. As for the density of states at the Fermi level: 5.2 states/eV/cell. The value obtained for the energy relative to the elements is 0.0855 eV/atom. For the total magnetic moment, the calculation gives 0.00 μB per atom.

The structure belongs to space group R3m (No. 160, hexagonal axes); the cell edges are 2.9435, 2.9435 and 27.9233 Å and the angles 90.00°, 90.00° and 120.00°. The distinct sites, in fractional coordinates, are Cd at (0.0000, 0.0000, 0.0000), Cu at (0.0000, 0.0000, 0.8332), Ag at (0.0000, 0.0000, 0.2425) and Ag at (0.0000, 0.0000, 0.4241).

=====

No. 3
Density functional theory data (GGA-PBE) for Cd2CuAg3 after structural relaxation.

For the uncorrected energy, the calculation gives -2.3946 eV per atom. The value obtained for the volume is 434 Å³/cell. As for the density of states at the Fermi level: 8.7 states/eV/cell. The value obtained for the energy relative to the elements is 0.0188 eV/atom. For the total magnetic moment, the calculation gives 0.00 μB per atom.

The structure belongs to space group Cmmm (No. 65); the cell edges are 4.372, 13.249 and 7.492 Å and the angles 90.00°, 90.00° and 90.00°. The distinct sites, in fractional coordinates, are Cd at (0.000, 0.000, 0.000), Cd at (0.000, 0.000, 0.500), Cd at (0.000, 0.333, 0.000), Cu at (0.000, 0.340, 0.500), Ag at (0.000, 0.175, 0.277) and Ag at (0.000, 0.500, 0.258).

=====

No. 4
Density functional theory data (GGA-PBE) for CdCu2Ag after structural relaxation.

For the uncorrected energy, the calculation gives -2.8452 eV per atom. The value obtained for the volume is 192 Å³/cell. As for the density of states at the Fermi level: 3.6 states/eV/cell. The value obtained for the energy relative to the elements is 0.1445 eV/atom. For the total magnetic moment, the calculation gives 0.00 μB per atom.

The structure belongs to space group R-3m (No. 166, hexagonal axes); the cell edges are 2.8947, 2.8947 and 26.4311 Å and the angles 90.00°, 90.00° and 120.00°. The distinct sites, in fractional coordinates, are Cd at (0.0000, 0.0000, 0.0000), Cu at (0.0000, 0.0000, 0.2478) and Ag at (0.0000, 0.0000, 0.5000).

=====

No. 5
Density functional theory data (GGA-PBE) for CdCu3Ag after structural relaxation.

For the uncorrected energy, the calculation gives -2.3855 eV per atom. The value obtained for the volume is 107 Å³/cell. The energy above the most stable polymorph in this dataset comes out at 0.0000 eV per atom. As for the density of states at the Fermi level: 1.9 states/eV/cell. The value obtained for the energy relative to the elements is 0.8254 eV/atom. For the total magnetic moment, the calculation gives 0.00 μB per atom.

The structure belongs to space group Pm-3m (No. 221); the cell edges are 4.742, 4.742 and 4.742 Å and the angles 90.00°, 90.00° and 90.00°. The distinct sites, in fractional coordinates, are Cd at (0.000, 0.000, 0.000), Cu at (0.000, 0.500, 0.500) and Ag at (0.500, 0.500, 0.500).

=====

No. 6
Density functional theory data (GGA-PBE) for Cd2CuAg6 after structural relaxation.

For the uncorrected energy, the calculation gives -2.4535 eV per atom. The value obtained for the volume is 335 Å³/cell. The energy above the most stable polymorph in this dataset comes out at 0.0349 eV per atom. As for the density of states at the Fermi level: 3.8 states/eV/cell. The value obtained for the energy relative to the elements is 0.1058 eV/atom. For the total magnetic moment, the calculation gives 0.00 μB per atom.

The structure belongs to space group Immm (No. 71); the cell edges are 2.837, 8.143 and 14.504 Å and the angles 90.00°, 90.00° and 90.00°. The distinct sites, in fractional coordinates, are Cd at (0.000, 0.000, 0.151), Cu at (0.000, 0.500, 0.000), Ag at (0.000, 0.169, 0.329) and Ag at (0.000, 0.312, 0.500).